Record 1
VASP calculation (GGA-PBE) on AcPm3HoEr after structural relaxation.

Results
The density of states at the Fermi level is 9.77 states/eV/f.u. Its crystal system is monoclinic. Its space group is No. 11. The total DFT energy (no corrections) is -27.243 eV/f.u.

a b c (Å): 5.195 8.181 10.966
angles (deg): 116.34 90.00 90.00
Element x y z (fractional)
Pm  0.750  0.375  0.547
Pm  0.750  0.866  0.040
Pm  0.250  0.134  0.960
Pm  0.250  0.625  0.453
Pm  0.750  0.381  0.206
Pm  0.250  0.619  0.794
Ho  0.250  0.619  0.123
Ho  0.750  0.381  0.877
Er  0.750  0.869  0.372
Er  0.250  0.131  0.628
Ac  0.750  0.879  0.708
Ac  0.250  0.121  0.292

Record 2
VASP calculation (GGA-PBE) on AcPm6Ho2Er3 after structural relaxation.

Results
The density of states at the Fermi level is 24.33 states/eV/f.u. Its crystal system is monoclinic. Its space group is No. 12. The total DFT energy (no corrections) is -53.243 eV/f.u.

a b c (Å): 6.140 6.140 12.790
angles (deg): 94.70 94.70 119.95
Element x y z (fractional)
Er  0.834  0.166  0.500
Er  0.500  0.500  0.500
Er  0.166  0.834  0.500
Ho  0.334  0.666  0.000
Ho  0.666  0.334  0.000
Pm  0.756  0.422  0.270
Pm  0.422  0.756  0.270
Pm  0.244  0.578  0.730
Pm  0.092  0.092  0.276
Pm  0.908  0.908  0.724
Pm  0.578  0.244  0.730
Ac  0.000  0.000  0.000

Record 3
VASP calculation (GGA-PBE) on Ac2PmHoEr after structural relaxation.

Results
The density of states at the Fermi level is 6.14 states/eV/f.u. Its crystal system is orthorhombic. Its space group is No. 51. The total DFT energy (no corrections) is -20.723 eV/f.u.

a b c (Å): 6.646 9.041 6.422
angles (deg): 90.00 90.00 90.00
Element x y z (fractional)
Ho  0.185  0.500  0.750
Ho  0.815  0.500  0.250
Ac  0.288  0.298  0.250
Ac  0.712  0.702  0.750
Ac  0.712  0.298  0.750
Ac  0.288  0.702  0.250
Pm  0.421  0.000  0.750
Pm  0.579  0.000  0.250
Er  0.000  0.000  0.000
Er  0.000  0.000  0.500